Record 1
A crystal of CdAgTe2I relaxed with PBEsol, computed with SCAN.

Values from the calculation:
E_form (uncorrected): 2.14 eV/f.u.
E: -34.18 eV/atom
space group: P4/mmm, No. 123
D(E_F): 4.27 states/eV/f.u.

abc: 5.4018 5.4018 5.4256
angles: 90.00 90.00 90.00
Last column: nearest neighbours and their distance in Å.
Atoms (fractional coordinates):
Cd: 0.0000 0.0000 0.0000  4 I 3.82, 8 Te 3.83
Ag: 0.5000 0.5000 0.5000  4 Te 2.70, 2 I 2.71
Te: 0.0000 0.5000 0.5000  2 Ag 2.70
Te: 0.5000 0.0000 0.5000  2 Ag 2.70
I: 0.5000 0.5000 0.0000  2 Ag 2.71


Record 2
A crystal of Sr3Si4Rh4 relaxed with PBEsol, computed with SCAN.

Values from the calculation:
E_form (uncorrected): -9.21 eV/f.u.
E: -22.84 eV/atom
space group: Immm, No. 71
D(E_F): 3.41 states/eV/f.u.

abc: 12.5347 12.5347 12.5347
angles: 161.58 159.93 27.37
Last column: nearest neighbours and their distance in Å.
Atoms (fractional coordinates):
Sr: 0.0000 0.0000 0.0000  8 Si 3.19, 4 Rh 3.29
Sr: 0.1442 0.6442 0.5000  8 Rh 3.15-3.40, 6 Si 3.19-3.27
Sr: 0.8558 0.3558 0.5000  8 Rh 3.15-3.40, 6 Si 3.19-3.27
Si: 0.2992 0.7992 0.5000  5 Rh 2.35-2.47
Si: 0.4512 0.4512 0.0000  2 Rh 2.37, 1 Si 2.38
Si: 0.5488 0.5488 0.0000  2 Rh 2.37, 1 Si 2.38
Si: 0.7008 0.2008 0.5000  5 Rh 2.35-2.47
Rh: 0.2486 0.2486 0.0000  4 Si 2.35-2.47
Rh: 0.3992 0.8992 0.5000  3 Si 2.37-2.44
Rh: 0.6008 0.1008 0.5000  3 Si 2.37-2.44
Rh: 0.7514 0.7514 0.0000  4 Si 2.35-2.47


Record 3
A crystal of HfNbSnPd2 relaxed with PBEsol, computed with SCAN.

Values from the calculation:
E: -38.52 eV/atom
formation energy from the elements: 0.9339 eV/atom
space group: P4/mmm, No. 123
D(E_F): 3.87 states/eV/f.u.

abc: 4.6908 4.6908 5.2513
angles: 90.00 90.00 90.00
Last column: nearest neighbours and their distance in Å.
Atoms (fractional coordinates):
Hf: 0.0000 0.0000 0.0000  4 Pd 2.35, 2 Sn 2.63
Nb: 0.5000 0.5000 0.5000  4 Sn 3.32, 8 Pd 3.52
Sn: 0.0000 0.0000 0.5000  2 Hf 2.63
Pd: 0.0000 0.5000 0.0000  2 Hf 2.35
Pd: 0.5000 0.0000 0.0000  2 Hf 2.35


Record 4
A crystal of ReHg3C relaxed with PBEsol, computed with SCAN.

Values from the calculation:
E: -55.13 eV/atom
formation energy from the elements: 2.0067 eV/atom
space group: Pm-3m, No. 221
D(E_F): 2.89 states/eV/f.u.

abc: 4.4928 4.4928 4.4928
angles: 90.00 90.00 90.00
Last column: nearest neighbours and their distance in Å.
Atoms (fractional coordinates):
Re: 0.0000 0.0000 0.0000  12 Hg 3.18
Hg: 0.0000 0.5000 0.5000  2 C 2.25
Hg: 0.5000 0.0000 0.5000  2 C 2.25
Hg: 0.5000 0.5000 0.0000  2 C 2.25
C: 0.5000 0.5000 0.5000  6 Hg 2.25


Record 5
A crystal of ZrCuNi2 relaxed with PBEsol, computed with SCAN.

Values from the calculation:
E: -19.88 eV/atom
formation energy from the elements: -0.3191 eV/atom
space group: I-4m2, No. 119
D(E_F): 1.05 states/eV/f.u.

abc: 4.6900 4.6900 4.6900
angles: 134.31 134.31 66.61
Last column: nearest neighbours and their distance in Å.
Atoms (fractional coordinates):
Zr: 0.0000 0.0000 0.0000  8 Ni 2.58-2.68, 4 Cu 2.68
Cu: 0.7500 0.2500 0.5000  8 Ni 2.58-2.68, 4 Zr 2.68
Ni: 0.2500 0.7500 0.5000  4 Cu 2.58, 4 Ni 2.68, 4 Zr 2.68
Ni: 0.5000 0.5000 0.0000  4 Zr 2.58, 4 Cu 2.68, 4 Ni 2.68


Record 6
A crystal of LaSiSb2 relaxed with PBEsol, computed with SCAN.

Values from the calculation:
E_form (uncorrected): -1.17 eV/f.u.
E: -32.20 eV/atom
space group: P4mm, No. 99
D(E_F): 2.15 states/eV/f.u.

abc: 4.0109 4.0109 6.2906
angles: 90.00 90.00 90.00
Last column: nearest neighbours and their distance in Å.
Atoms (fractional coordinates):
La: 0.0000 0.0000 0.0000  6 Sb 3.04-3.25
Si: 0.5000 0.5000 0.6921  5 Sb 2.76-3.04
Sb: 0.0000 0.0000 0.5160  2 La 3.04-3.25, 4 Si 3.04, 4 Sb 3.28
Sb: 0.5000 0.5000 0.2532  1 Si 2.76


Record 7
A crystal of Ga3CuN relaxed with PBEsol, computed with SCAN.

Values from the calculation:
E_form (uncorrected): 4.84 eV/f.u.
E: -13.74 eV/atom
space group: Pm-3m, No. 221
D(E_F): 2.19 states/eV/f.u.

abc: 4.4792 4.4792 4.4792
angles: 90.00 90.00 90.00
Last column: nearest neighbours and their distance in Å.
Atoms (fractional coordinates):
Ga: 0.0000 0.0000 0.5000  2 Cu 2.24
Ga: 0.0000 0.5000 0.0000  2 Cu 2.24
Ga: 0.5000 0.0000 0.0000  2 Cu 2.24
Cu: 0.0000 0.0000 0.0000  6 Ga 2.24
N: 0.5000 0.5000 0.5000  12 Ga 3.17


Record 8
A crystal of InCoHg2 relaxed with PBEsol, computed with SCAN.

Values from the calculation:
E: -46.41 eV/atom
formation energy from the elements: 0.3461 eV/atom
space group: C2/m, No. 12
D(E_F): 1.64 states/eV/f.u.

abc: 5.7287 5.7287 3.1996
angles: 104.93 104.93 121.20
Last column: nearest neighbours and their distance in Å.
Atoms (fractional coordinates):
In: 0.0000 0.0000 0.0000  4 Co 2.81-2.95, 4 Hg 2.86
Co: 0.5000 0.5000 0.0000  4 In 2.81-2.95, 4 Hg 2.86
Hg: 0.0000 0.5000 0.0000  4 Hg 2.81-2.95, 2 Co 2.86, 2 In 2.86
Hg: 0.5000 0.0000 0.0000  4 Hg 2.81-2.95, 2 Co 2.86, 2 In 2.86


Record 9
A crystal of Zr2Ni2Sn relaxed with PBEsol, computed with SCAN.

Values from the calculation:
E: -26.60 eV/atom
formation energy from the elements: -0.6685 eV/atom
space group: P4_2/mnm, No. 136
D(E_F): 2.59 states/eV/f.u.

abc: 7.0181 7.0181 6.7514
angles: 90.00 90.00 90.00
Last column: nearest neighbours and their distance in Å.
Atoms (fractional coordinates):
Zr: 0.1544 0.1544 0.0000  6 Ni 2.62-2.76
Zr: 0.1835 0.1835 0.5000  6 Ni 2.64-2.70
Zr: 0.3165 0.6835 0.0000  6 Ni 2.64-2.70
Zr: 0.3456 0.6544 0.5000  6 Ni 2.62-2.76
Zr: 0.6544 0.3456 0.5000  6 Ni 2.62-2.76
Zr: 0.6835 0.3165 0.0000  6 Ni 2.64-2.70
Zr: 0.8165 0.8165 0.5000  6 Ni 2.64-2.70
Zr: 0.8456 0.8456 0.0000  6 Ni 2.62-2.76
Ni: 0.1258 0.8742 0.2863  1 Ni 2.50, 6 Zr 2.62-2.76, 2 Sn 2.78
Ni: 0.1258 0.8742 0.7137  1 Ni 2.50, 6 Zr 2.62-2.76, 2 Sn 2.78
Ni: 0.3742 0.3742 0.2137  1 Ni 2.50, 6 Zr 2.62-2.76, 2 Sn 2.78
Ni: 0.3742 0.3742 0.7863  1 Ni 2.50, 6 Zr 2.62-2.76, 2 Sn 2.78
Ni: 0.6258 0.6258 0.2137  1 Ni 2.50, 6 Zr 2.62-2.76, 2 Sn 2.78
Ni: 0.6258 0.6258 0.7863  1 Ni 2.50, 6 Zr 2.62-2.76, 2 Sn 2.78
Ni: 0.8742 0.1258 0.2863  1 Ni 2.50, 6 Zr 2.62-2.76, 2 Sn 2.78
Ni: 0.8742 0.1258 0.7137  1 Ni 2.50, 6 Zr 2.62-2.76, 2 Sn 2.78
Sn: 0.0000 0.5000 0.2500  4 Ni 2.78, 4 Zr 3.07
Sn: 0.0000 0.5000 0.7500  4 Ni 2.78, 4 Zr 3.07
Sn: 0.5000 0.0000 0.2500  4 Ni 2.78, 4 Zr 3.07
Sn: 0.5000 0.0000 0.7500  4 Ni 2.78, 4 Zr 3.07


Record 10
A crystal of YBeAg2 relaxed with PBEsol, computed with SCAN.

Values from the calculation:
E: -23.74 eV/atom
formation energy from the elements: -0.0047 eV/atom
space group: I-4m2, No. 119
D(E_F): 2.28 states/eV/f.u.

abc: 4.7388 4.7388 4.7388
angles: 123.46 123.46 84.10
Last column: nearest neighbours and their distance in Å.
Atoms (fractional coordinates):
Y: 0.0000 0.0000 0.0000  4 Be 2.85, 8 Ag 2.85-3.17
Be: 0.2500 0.7500 0.5000  8 Ag 2.85-3.17, 4 Y 2.85
Ag: 0.5000 0.5000 0.0000  4 Be 2.85, 4 Ag 2.85, 4 Y 3.17
Ag: 0.7500 0.2500 0.5000  4 Ag 2.85, 4 Y 2.85, 4 Be 3.17


Record 11
A crystal of ZrSc relaxed with PBEsol, computed with SCAN.

Values from the calculation:
E: -22.46 eV/atom
formation energy from the elements: 0.0038 eV/atom
space group: Cm, No. 8
D(E_F): 2.58 states/eV/f.u.

abc: 6.0425 6.0425 7.4851
angles: 102.78 102.78 30.82
Last column: nearest neighbours and their distance in Å.
Atoms (fractional coordinates):
Zr: 0.0000 0.0000 0.0000  5 Zr 3.09-3.21, 7 Sc 3.14-3.21
Zr: 0.0499 0.0499 0.6113  5 Zr 3.09-3.21, 7 Sc 3.10-3.26
Zr: 0.3921 0.3921 0.2789  6 Sc 3.11-3.23, 6 Zr 3.12-3.21
Sc: 0.3337 0.3337 0.6676  6 Zr 3.10-3.24, 6 Sc 3.16-3.24
Sc: 0.6646 0.6646 0.3329  5 Sc 3.10-3.24, 7 Zr 3.11-3.21
Sc: 0.7213 0.7213 0.9479  5 Sc 3.10-3.21, 7 Zr 3.14-3.26


Record 12
A crystal of NaZn2I2 relaxed with PBEsol, computed with SCAN.

Values from the calculation:
E_form (uncorrected): -1.49 eV/f.u.
E: -21.24 eV/atom
space group: I4/mmm, No. 139
D(E_F): 2.93 states/eV/f.u.

abc: 9.9107 9.9107 9.9107
angles: 158.21 158.21 31.00
Last column: nearest neighbours and their distance in Å.
Atoms (fractional coordinates):
Na: 0.0000 0.0000 0.0000  8 I 3.30
Zn: 0.2500 0.7500 0.5000  4 Zn 2.65
Zn: 0.7500 0.2500 0.5000  4 Zn 2.65
I: 0.3969 0.3969 0.0000  4 Na 3.30, 4 Zn 3.37
I: 0.6031 0.6031 0.0000  4 Na 3.30, 4 Zn 3.37